# Tl2InHg2, relaxed, DFT PBE
data_Tl2InHg2
_cell_length_a 8.3208
_cell_length_b 8.3208
_cell_length_c 4.2606
_cell_angle_alpha 90.00
_cell_angle_beta 90.00
_cell_angle_gamma 90.00
_space_group_name_H-M_alt 'P 4/m b m'
_space_group_IT_number 127
_space_group_name_Hall '-P 4 2ab'
loop_
_atom_site_label
_atom_site_type_symbol
_atom_site_fract_x
_atom_site_fract_y
_atom_site_fract_z
Tl1 Tl 0.1650 0.3350 0.0000
In1 In 0.0000 0.0000 0.5000
Hg1 Hg 0.1366 0.6366 0.5000
# Theoretical density   10.41 g/cm³
# Total energy   -1.588 eV per atom
# DOS(E_F)   2.0 states/eV/f.u.